[1]
Crystalline K2SbAs2 at its relaxed geometry. Source: Alexandria, functional GGA-PBE.

For the density, the calculation gives 3.90 Mg/m³. The distance to the lowest polymorph of the same formula comes out at 0 meV/atom. The uncorrected formation energy comes out at -0.323 eV per atom. The value obtained for the density of states at the Fermi level is 0.48 states/eV/atom. The total magnetic moment is 0.00 μB per formula unit.

The structure belongs to space group P4/mbm (No. 127); the cell edges are 7.5184, 7.5184 and 5.2752 Å and the angles 90.00°, 90.00° and 90.00°. The asymmetric unit holds K at (0.1802, 0.3198, 0.0000), Sb at (0.0000, 0.0000, 0.5000) and As at (0.1164, 0.6164, 0.5000).



[2]
Crystalline KSbAs4 at its relaxed geometry. Source: Alexandria, functional GGA-PBE.

For the density, the calculation gives 4.91 Mg/m³. The uncorrected formation energy comes out at 0.148 eV per atom. The value obtained for the density of states at the Fermi level is 0.72 states/eV/atom. The total magnetic moment is 0.00 μB per formula unit.

The structure belongs to space group F-43m (No. 216); the cell edges are 8.5425, 8.5425 and 8.5425 Å and the angles 90.00°, 90.00° and 90.00°. The asymmetric unit holds K at (0.0000, 0.0000, 0.0000), Sb at (0.2500, 0.2500, 0.7500) and As at (0.1067, 0.1067, 0.3933).



[3]
Crystalline K8SbAs2 at its relaxed geometry. Source: Alexandria, functional GGA-PBE.

For the density, the calculation gives 2.33 Mg/m³. The uncorrected formation energy comes out at -0.323 eV per atom. The value obtained for the density of states at the Fermi level is 1.43 states/eV/atom. The total magnetic moment is 1.20 μB per formula unit.

The structure belongs to space group Immm (No. 71); the cell edges are 5.6079, 8.7868 and 16.8921 Å and the angles 90.00°, 90.00° and 90.00°. The asymmetric unit holds K at (0.0000, 0.0000, 0.1568), K at (0.0000, 0.2237, 0.3390), K at (0.0000, 0.2971, 0.0000), Sb at (0.0000, 0.5000, 0.5000) and As at (0.0000, 0.5000, 0.1842).



Question: Which of these has the highest total magnetic moment?
Answer: K8SbAs2



Question: What is the formula in the second record?
Answer: KSbAs4